# 1
This record from the Alexandria database describes crystalline ErGa6Au12 at its relaxed geometry. The functional is PBE.

Unit cell a=7.594 b=7.594 c=7.594 alpha=106.46 beta=106.46 gamma=106.46
Positions (direct):
Au1 0.500 0.119 0.881
Au2 0.363 0.121 0.363
Au3 0.881 0.500 0.119
Ga1 0.286 0.694 0.286
Au4 0.121 0.363 0.363
Ga2 0.714 0.714 0.306
Au5 0.637 0.879 0.637
Ga3 0.694 0.286 0.286
Au6 0.879 0.637 0.637
Er1 0.000 0.000 0.000
Au7 0.119 0.500 0.881
Au8 0.637 0.637 0.879
Ga4 0.286 0.286 0.694
Au9 0.119 0.881 0.500
Au10 0.363 0.363 0.121
Ga5 0.714 0.306 0.714
Au11 0.500 0.881 0.119
Ga6 0.306 0.714 0.714
Au12 0.881 0.119 0.500

Computed properties:
The space group is R-3m (166). Its total energy is -65.619 eV/cell.

***

# 2
This record from the Alexandria database describes crystalline BaTa2Mo at its relaxed geometry. The functional is PBE.

Unit cell a=5.690 b=5.883 c=2.929 alpha=80.69 beta=79.62 gamma=116.02
Positions (direct):
Mo1 0.500 0.500 0.000
Ta1 0.500 0.000 0.500
Ta2 0.000 0.000 0.000
Ba1 0.000 0.500 0.500

Computed properties:
The space group is C2/m (12). As for the energy relative to the lowest polymorph listed for this composition: 249 kJ/mol of formula units.

***

# 3
This record from the Alexandria database describes crystalline HgHPdPb2 at its relaxed geometry. The functional is PBE.

Unit cell a=5.724 b=5.724 c=3.369 alpha=90.00 beta=90.00 gamma=90.00
Positions (direct):
Pb1 0.500 0.000 0.000
Pd1 0.000 0.000 0.000
H1 0.000 0.000 0.500
Pb2 0.000 0.500 0.000
Hg1 0.500 0.500 0.500

Computed properties:
The space group is P4/mmm (123). As for the energy relative to the lowest polymorph listed for this composition: 5 kJ/mol of formula units.

***

# 4
This record from the Alexandria database describes crystalline MnGeCN at its relaxed geometry. The functional is PBE.

Unit cell a=3.743 b=3.939 c=4.249 alpha=89.54 beta=64.74 gamma=62.87
Positions (direct):
Ge1 0.630 0.171 0.362
C1 0.342 0.922 0.007
Mn1 0.212 0.437 0.001
N1 0.656 0.575 0.995

Computed properties:
The space group is P1 (1). As for the energy relative to the lowest polymorph listed for this composition: 75 kJ/mol of formula units.

***

# 5
This record from the Alexandria database describes crystalline Cs3CoI6 at its relaxed geometry. The functional is PBE.

Unit cell a=6.635 b=12.631 c=12.631 alpha=105.70 beta=90.00 gamma=90.00
Positions (direct):
Cs1 0.107 0.106 0.295
Co1 0.094 0.193 0.807
I1 0.609 0.590 0.737
I2 0.721 0.211 0.789
I3 0.221 0.789 0.211
I4 0.226 0.108 0.614
I5 0.609 0.263 0.410
I6 0.179 0.069 0.931
I7 0.726 0.892 0.386
Cs2 0.607 0.894 0.705
I8 0.109 0.737 0.590
Co2 0.594 0.807 0.193
I9 0.109 0.410 0.263
I10 0.679 0.931 0.069
Cs3 0.107 0.705 0.894
Cs4 0.606 0.583 0.417
Cs5 0.607 0.295 0.106
I11 0.726 0.614 0.108
I12 0.226 0.386 0.892
Cs6 0.106 0.417 0.583

Computed properties:
The space group is Cmc2_1 (36). As for the energy relative to the lowest polymorph listed for this composition: 0 kJ/mol of formula units.

***

# 6
This record from the Alexandria database describes crystalline NiBiWSe2 at its relaxed geometry. The functional is PBE.

Unit cell a=4.767 b=4.726 c=4.767 alpha=90.00 beta=90.00 gamma=90.00
Positions (direct):
Se1 0.000 0.000 0.500
Se2 0.500 0.000 0.000
Ni1 0.000 0.000 0.000
W1 0.000 0.500 0.000
Bi1 0.500 0.500 0.500

Computed properties:
The space group is P4/mmm (123). Its total energy is -25.291 eV/cell.

***

Number 1: magnetization 0.00 μB per formula unit. Number 2: magnetization 0.00 μB per formula unit. Number 3: magnetization 0.00 μB per formula unit. Number 4: magnetization 0.00 μB per formula unit. Number 5: magnetization 4.03 μB per formula unit. Number 6: magnetization 2.14 μB per formula unit.